GaCoSn2Bi after structural relaxation, computed with PBE-GGA.

Values from the calculation:
DOS at the Fermi energy ... 3.30 states/eV/f.u.
Total magnetic moment ... 0.00 μB per cell
Uncorrected energy ... -4.36 eV per atom

abc: 5.0750 5.0750 4.5965
angles: 90.00 90.00 90.00
With the nearest neighbours (Å) after each atom.
Space group P4/mmm (No. 123)
Inequivalent atoms, fractional coordinates:
Ga 0.0000 0.0000 0.0000 x1  2 Co 2.30
Co 0.0000 0.0000 0.5000 x1  2 Ga 2.30, 4 Sn 2.54
Sn 0.0000 0.5000 0.5000 x2  2 Co 2.54
Bi 0.5000 0.5000 0.0000 x1  8 Sn 3.42, 4 Ga 3.59